1.
Density functional theory data (PBE) for a relaxed structure of LiTe2HI.

Calculated values
- Calculated density: 3.7 g/cm³
- Energy above the most stable polymorph in this dataset: 0.191 eV/atom
- VASP energy: -2.7809 eV/atom

Cell: 3.5203 5.9460 8.7233 Å, 73.35 89.76 89.99°
With the nearest neighbours (Å) after each atom.
Element x y z (fractional)
1 Li 0.0000 0.0000 0.0000  3 Te 2.74-2.91, 2 I 2.92
2 Te 0.0108 0.9771 0.3185  1 H 1.68
3 Te 0.5034 0.2975 0.7606  2 Li 2.91, 2 I 3.01-3.04
4 H 0.0101 0.6825 0.3837  1 Te 1.68
5 I 0.5024 0.7672 0.8260  2 Li 2.92, 2 Te 3.01-3.04


2.
Density functional theory data (PBE) for a relaxed structure of LiTe2HI.

Calculated values
- Calculated density: 4.0 g/cm³
- Energy above the most stable polymorph in this dataset: 0.029 eV/atom
- VASP energy: -2.9437 eV/atom

Cell: 4.7669 4.7669 8.6086 Å, 105.81 105.81 62.05°
With the nearest neighbours (Å) after each atom.
Element x y z (fractional)
1 Li 0.0000 0.0000 0.0000  3 I 2.80-2.86, 1 Te 3.02
2 Te 0.5406 0.5406 0.5082  1 H 1.76
3 Te 0.9494 0.9494 0.3322  1 H 2.34
4 H 0.7292 0.7292 0.4514  1 Te 1.76
5 I 0.3124 0.3124 0.9304  3 Li 2.80-2.86


3.
Density functional theory data (PBE) for a relaxed structure of LiTe2HI.

Calculated values
- Calculated density: 4.4 g/cm³
- Energy above the most stable polymorph in this dataset: 0.912 eV/atom
- VASP energy: -2.0604 eV/atom

Cell: 5.1136 5.1136 5.6824 Å, 90.00 90.00 90.00°
With the nearest neighbours (Å) after each atom.
Element x y z (fractional)
1 Li 0.0000 0.0000 0.0000  4 Te 2.56, 2 I 2.84
2 Te 0.0000 0.5000 0.0000  2 Li 2.56
3 Te 0.5000 0.0000 0.0000  2 Li 2.56
4 H 0.5000 0.5000 0.5000  4 I 3.62, 8 Te 3.82
5 I 0.0000 0.0000 0.5000  2 Li 2.84